<1>
Material: Ta3TcTe
Method: DFT, PBE-GGA
State: optimized geometry

a = 4.9226 Å, b = 4.9226 Å, c = 4.9226 Å
α = 90.00°, β = 90.00°, γ = 90.00°
Fractional coordinates of all 5 atoms:
Ta (0.0000, 0.0000, 0.5000)
Ta (0.0000, 0.5000, 0.0000)
Ta (0.5000, 0.0000, 0.0000)
Tc (0.5000, 0.5000, 0.5000)
Te (0.0000, 0.0000, 0.0000)

symmetry = Pm-3m, No. 221
V = 119 Å³/cell

***

<2>
Material: Ta3TcTe
Method: DFT, PBE-GGA
State: optimized geometry

a = 4.8571 Å, b = 4.8571 Å, c = 4.8571 Å
α = 90.00°, β = 90.00°, γ = 90.00°
Fractional coordinates of all 5 atoms:
Ta (0.0000, 0.0000, 0.5000)
Ta (0.0000, 0.5000, 0.0000)
Ta (0.5000, 0.0000, 0.0000)
Tc (0.0000, 0.0000, 0.0000)
Te (0.5000, 0.5000, 0.5000)

symmetry = Pm-3m, No. 221
V = 115 Å³/cell

***

According to the calculations, the structures order from most to least stable as <2>, <1>.

***

<1>
Material: TaTi4Tc
Method: DFT, PBE-GGA
State: optimized geometry

a = 4.3430 Å, b = 4.3430 Å, c = 7.6245 Å
α = 106.97°, β = 106.97°, γ = 58.20°
Fractional coordinates of all 6 atoms:
Ta (0.0000, 0.0000, 0.0000)
Ti (0.1266, 0.1266, 0.3820)
Ti (0.3747, 0.3747, 0.1403)
Ti (0.6253, 0.6253, 0.8597)
Ti (0.8734, 0.8734, 0.6180)
Tc (0.5000, 0.5000, 0.5000)

symmetry = C2/m, No. 12
V = 115 Å³/cell

***

<2>
Material: TaTi4Tc
Method: DFT, PBE-GGA
State: optimized geometry

a = 5.3055 Å, b = 5.3055 Å, c = 5.5738 Å
α = 120.93°, β = 120.93°, γ = 50.35°
Fractional coordinates of all 6 atoms:
Ta (0.0000, 0.0000, 0.0000)
Ti (0.3067, 0.3067, 0.6616)
Ti (0.3460, 0.3460, 0.1878)
Ti (0.6540, 0.6540, 0.8122)
Ti (0.6933, 0.6933, 0.3384)
Tc (0.0000, 0.0000, 0.5000)

symmetry = C2/m, No. 12
V = 99 Å³/cell

***

According to the calculations, the structures order from most to least stable as <2>, <1>.